[1]
VASP calculation (PBE) on a relaxed Ca2NbTl crystal.

Cell lengths 8.5083, 8.5083, 6.2622 Å; angles 90.00, 90.00, 90.00 degrees
Sites, in units of the cell vectors:
Ca1 0.2435 0.7500 0.1250
Ca2 0.2500 0.2435 0.8750
Ca3 0.2500 0.2565 0.3750
Ca4 0.2565 0.7500 0.6250
Ca5 0.7435 0.2500 0.6250
Ca6 0.7500 0.7435 0.3750
Ca7 0.7500 0.7565 0.8750
Ca8 0.7565 0.2500 0.1250
Nb1 0.0000 0.0000 0.5000
Nb2 0.0000 0.5000 0.7500
Nb3 0.5000 0.0000 0.2500
Nb4 0.5000 0.5000 0.0000
Tl1 0.0000 0.0000 0.0000
Tl2 0.0000 0.5000 0.2500
Tl3 0.5000 0.0000 0.7500
Tl4 0.5000 0.5000 0.5000

Calculated values
The value obtained for the formation energy is 621.1 meV per atom. Its crystal system is tetragonal. The calculation puts the energy relative to the lowest polymorph listed for this composition at 250 meV per atom. Its symmetry is No. 122.



[2]
VASP calculation (PBE) on a relaxed TaTiTe4 crystal.

Cell lengths 8.9853, 8.9853, 6.7220 Å; angles 103.00, 103.00, 131.50 degrees
Sites, in units of the cell vectors:
Ta1 0.0588 0.9412 0.7500
Ta2 0.9412 0.0588 0.2500
Ti1 0.4430 0.5570 0.2500
Ti2 0.5570 0.4430 0.7500
Te1 0.0709 0.4325 0.2474
Te2 0.1801 0.3260 0.7513
Te3 0.3260 0.1801 0.2513
Te4 0.4325 0.0709 0.7474
Te5 0.5675 0.9291 0.2526
Te6 0.6740 0.8199 0.7487
Te7 0.8199 0.6740 0.2487
Te8 0.9291 0.5675 0.7526

Calculated values
Its crystal system is monoclinic. The formation energy (no corrections) is -0.344 eV per atom. Its symmetry is No. 15.



[3]
VASP calculation (PBE) on a relaxed TaBe2Al crystal.

Cell lengths 3.7669, 3.7669, 3.5386 Å; angles 90.00, 90.00, 90.00 degrees
Sites, in units of the cell vectors:
Ta1 0.0000 0.0000 0.0000
Be1 0.0000 0.5000 0.5000
Be2 0.5000 0.0000 0.5000
Al1 0.5000 0.5000 0.0000

Calculated values
The value obtained for the formation energy is -175.9 meV per atom. Its crystal system is tetragonal. Its symmetry is No. 123.



[4]
VASP calculation (PBE) on a relaxed PaH4Ru2 crystal.

Cell lengths 5.1129, 5.1757, 5.6679 Å; angles 90.00, 95.17, 90.00 degrees
Sites, in units of the cell vectors:
Pa1 0.0000 0.0000 0.0000
Pa2 0.5000 0.5000 0.0000
H1 0.2480 0.2595 0.2859
H2 0.2480 0.7405 0.2859
H3 0.2520 0.2405 0.7141
H4 0.2520 0.7595 0.7141
H5 0.7480 0.2405 0.2859
H6 0.7480 0.7595 0.2859
H7 0.7520 0.2595 0.7141
H8 0.7520 0.7405 0.7141
Ru1 0.0136 0.5000 0.7366
Ru2 0.4864 0.0000 0.2634
Ru3 0.5137 0.0000 0.7366
Ru4 0.9864 0.5000 0.2634

Calculated values
Its crystal system is monoclinic. As for the total energy: -6.075 eV per atom. Its symmetry is No. 12.